Arrangement A

## YTl2Cd (PBE)

Data for a geometry-optimized YTl2Cd structure.

Output
D(E_F) ... 3.21 states/eV/cell
Volume ... 27.947 Å³/atom

Cell and atoms, written as POSCAR:
```
YTl2Cd
1.0
-1.4135 -6.6195 -8.0285
1.9144 -7.4482 -7.1507
-0.7947 -8.9493 -5.4361
Cd Tl Y
1 2 1
Direct
0.7500 0.7500 0.7500
0.0029 0.0029 0.0029
0.4971 0.4971 0.4971
0.2500 0.2500 0.2500
```

=====

Arrangement B

## YTl2Cd (PBE)

Data for a geometry-optimized YTl2Cd structure.

Output
D(E_F) ... 2.47 states/eV/cell
Volume ... 26.470 Å³/atom

Cell and atoms, written as POSCAR:
```
YTl2Cd
1.0
5.0291 -1.5344 0.7427
1.2355 -5.1642 -0.0521
2.7834 -2.0235 -4.0443
Y Tl Cd
1 2 1
Direct
0.0000 0.0000 0.0000
0.2500 0.2500 0.2500
0.7500 0.7500 0.7500
0.5000 0.5000 0.5000
```

=====

Arrangement C

## YTl2Cd (PBE)

Data for a geometry-optimized YTl2Cd structure.

Output
D(E_F) ... 2.53 states/eV/cell
Volume ... 29.389 Å³/atom

Cell and atoms, written as POSCAR:
```
YTl2Cd
1.0
4.4110 0.0000 0.0000
2.2055 3.8200 0.0000
2.2055 1.2733 6.9766
Y Tl Cd
1 2 1
Direct
0.6686 0.6686 0.9941
0.0899 0.0899 0.7303
0.2427 0.2427 0.2720
0.4988 0.4988 0.5035
```

=====

Quick one: least stable of them? arrangement C

=====

Arrangement A

## Y3TlCd2 (PBE)

Data for a geometry-optimized Y3TlCd2 structure.

Output
D(E_F) ... 6.79 states/eV/cell
Volume ... 26.715 Å³/atom

Cell and atoms, written as POSCAR:
```
Y3TlCd2
1.0
-1.1122 -3.1338 -1.7727
3.1695 -1.7324 1.0740
-5.1167 -3.5168 9.4272
Y Tl Cd
3 1 2
Direct
0.0000 0.0000 0.0000
0.0000 0.0000 0.6713
0.0000 0.0000 0.3287
0.5000 0.5000 0.5000
0.5000 0.5000 0.8387
0.5000 0.5000 0.1613
```

=====

Arrangement B

## Y3TlCd2 (PBE)

Data for a geometry-optimized Y3TlCd2 structure.

Output
D(E_F) ... 6.95 states/eV/cell
Volume ... 26.704 Å³/atom

Cell and atoms, written as POSCAR:
```
Y3TlCd2
1.0
-0.0548 3.6792 -3.8400
3.1014 -4.2942 -0.4757
-4.8705 -3.1871 -2.9840
Y Tl Cd
3 1 2
Direct
0.0000 0.0000 0.5000
0.6667 0.3333 0.8344
0.3333 0.6667 0.1656
0.0000 0.0000 0.0000
0.6667 0.3333 0.3486
0.3333 0.6667 0.6514
```

=====

Quick one: least stable of them? arrangement A